Material: IrSe3I
Method: DFT, PBE
State: optimized geometry

Computed properties:
The formation energy (no corrections) comes out at 0.4775 eV/atom. For the offset from the most stable computed form, the calculation gives 0 kJ/mol of formula units. The calculation puts the final energy at -3.70 eV per atom. The calculation puts the density of states at the Fermi level at 1.292 states/eV/atom. The volume comes out at 24.473 Å³ per atom.

a b c (Å): 4.9646 4.9646 4.9646
angles (deg): 90.00 90.00 90.00
Last column: nearest neighbours and their distance in Å.
Positions (direct):
Ir1 0.0000 0.0000 0.0000  6 Se 2.48
I1 0.5000 0.5000 0.5000  12 Se 3.51
Se1 0.5000 0.0000 0.0000  2 Ir 2.48
Se2 0.0000 0.5000 0.0000  2 Ir 2.48
Se3 0.0000 0.0000 0.5000  2 Ir 2.48